[1]
Density functional theory data (PBE) for crystalline Ca3Ce2Rh4 at its relaxed geometry.

M_tot	0.00	μB/f.u.
theoretical density	6.2	g/cm³
E_tot	-104.50	eV for the cell shown
space-group type	C2/c, No. 15

abc: 6.0062 8.8508 8.8508
angles: 68.67 89.36 89.36
With the nearest neighbours (Å) after each atom.
Fractional positions:
Ca  0.9806  0.0269  0.7905  6 Rh 3.04-3.21
Ca  0.5194  0.2095  0.9731  6 Rh 3.04-3.21
Ca  0.0194  0.9731  0.2095  6 Rh 3.04-3.21
Ca  0.4806  0.7905  0.0269  6 Rh 3.04-3.21
Ca  0.2500  0.3897  0.6103  4 Rh 3.02-3.13
Ca  0.7500  0.6103  0.3897  4 Rh 3.02-3.13
Ce  0.3481  0.8118  0.5983  2 Rh 2.46-2.52
Ce  0.1519  0.4017  0.1882  2 Rh 2.46-2.52
Ce  0.6519  0.1882  0.4017  2 Rh 2.46-2.52
Ce  0.8481  0.5983  0.8118  2 Rh 2.46-2.52
Rh  0.4965  0.0720  0.6859  1 Ce 2.52
Rh  0.0035  0.3141  0.9280  1 Ce 2.52
Rh  0.5035  0.9280  0.3141  1 Ce 2.52
Rh  0.9965  0.6859  0.0720  1 Ce 2.52
Rh  0.8429  0.8484  0.5694  1 Ce 2.46
Rh  0.6571  0.4306  0.1516  1 Ce 2.46
Rh  0.1571  0.1516  0.4306  1 Ce 2.46
Rh  0.3429  0.5694  0.8484  1 Ce 2.46



[2]
Density functional theory data (PBE) for crystalline CuAg2Au2 at its relaxed geometry.

M_tot	0.00	μB/f.u.
theoretical density	12.0	g/cm³
E_tot	-31.49	eV for the cell shown
space-group type	P4/mbm, No. 127
relative energy among the computed polymorphs	0.00	eV per formula unit

abc: 6.7077 6.7077 4.1328
angles: 90.00 90.00 90.00
With the nearest neighbours (Å) after each atom.
Fractional positions:
Au  0.3550  0.8550  0.0000  2 Cu 2.57, 1 Au 2.75, 2 Ag 2.77
Au  0.8550  0.6450  0.0000  2 Cu 2.57, 1 Au 2.75, 2 Ag 2.77
Au  0.6450  0.1450  0.0000  2 Cu 2.57, 1 Au 2.75, 2 Ag 2.77
Au  0.1450  0.3550  0.0000  2 Cu 2.57, 1 Au 2.75, 2 Ag 2.77
Cu  0.0000  0.0000  0.0000  4 Au 2.57
Cu  0.5000  0.5000  0.0000  4 Au 2.57
Ag  0.1598  0.6598  0.5000  6 Au 2.77-2.91, 1 Ag 3.03
Ag  0.6598  0.8402  0.5000  6 Au 2.77-2.91, 1 Ag 3.03
Ag  0.8402  0.3402  0.5000  6 Au 2.77-2.91, 1 Ag 3.03
Ag  0.3402  0.1598  0.5000  6 Au 2.77-2.91, 1 Ag 3.03



[3]
Density functional theory data (PBE) for crystalline Sm2ScRu2 at its relaxed geometry.

M_tot	0.00	μB/f.u.
theoretical density	8.1	g/cm³
E_tot	-35.93	eV for the cell shown
space-group type	Immm, No. 71

abc: 4.1699 5.7718 5.7727
angles: 63.24 68.83 68.82
With the nearest neighbours (Å) after each atom.
Fractional positions:
Sm  0.6988  0.8013  0.3011  6 Ru 3.06-3.14, 2 Sc 3.40
Sm  0.3012  0.1987  0.6989  6 Ru 3.06-3.14, 2 Sc 3.40
Sc  0.5000  0.5000  0.0000  4 Ru 2.65
Ru  0.0001  0.2288  0.2709  2 Sc 2.65, 1 Ru 2.77
Ru  0.9999  0.7712  0.7291  2 Sc 2.65, 1 Ru 2.77



[4]
Density functional theory data (PBE) for crystalline Th2AlAu at its relaxed geometry.

M_tot	0.00	μB/f.u.
theoretical density	10.8	g/cm³
E_tot	-47.23	eV for the cell shown
space-group type	P2_1/m, No. 11
relative energy among the computed polymorphs	0.00	eV per formula unit

abc: 4.1938 6.1111 8.8826
angles: 111.57 90.00 90.00
With the nearest neighbours (Å) after each atom.
Fractional positions:
Th  0.7500  0.2055  0.4312  4 Au 3.14-3.34, 3 Al 3.20-3.33
Th  0.2500  0.7945  0.5688  4 Au 3.14-3.34, 3 Al 3.20-3.33
Th  0.2500  0.7962  0.0814  4 Al 3.15-3.33, 3 Au 3.15-3.37
Th  0.7500  0.2038  0.9186  4 Al 3.15-3.33, 3 Au 3.15-3.37
Al  0.2500  0.3496  0.2120  2 Au 2.67
Al  0.7500  0.6504  0.7880  2 Au 2.67
Au  0.7500  0.6392  0.2863  2 Al 2.67
Au  0.2500  0.3608  0.7137  2 Al 2.67